DFT (PBE+U) results for a relaxed structure of Cr3HgO.

Unit cell a=5.246 b=5.246 c=5.246 alpha=90.00 beta=90.00 gamma=90.00
Fractional coordinates of all 5 atoms:
Cr  0.000  0.500  0.000
Cr  0.000  0.000  0.500
Cr  0.500  0.000  0.000
Hg  0.000  0.000  0.000
O  0.500  0.500  0.500

Computed properties:
As for the symmetry: No. 221. The calculation puts the density of states at the Fermi level at 0.54 states/eV per atom. As for the energy above the lowest structure with this stoichiometry: 1.603 eV per atom. The calculation puts the final energy at -4.19 eV per atom. Its crystal system is cubic.